SrScS2 | GGA-PBE | optimized geometry

Calculated values
Energy above the lowest structure with this stoichiometry ... 0.482 eV/atom
Space group ... Fm-3m
Final energy ... -5.52 eV/atom
Total magnetization ... 0.2489 μB/atom
Formation energy (no corrections) ... -1.4515 eV/atom

abc: 4.900 4.900 4.900
angles: 60.00 60.00 60.00
Fractional positions:
Sr 0.000 0.000 0.000
Sc 0.500 0.500 0.500
S 0.250 0.250 0.250
S 0.750 0.750 0.750



Dy6Ho2Er | GGA-PBE | optimized geometry

Calculated values
Space group ... P-1
ΔE_f ... 0.4 kcal/mol of atoms
Final energy ... -4.57 eV/atom
Total magnetization ... 0.0000 μB/atom

abc: 3.528 8.628 9.325
angles: 90.00 79.16 89.94
Fractional positions:
Dy 0.111 0.333 0.278
Dy 0.222 0.667 0.056
Dy 0.334 0.000 0.833
Dy 0.666 0.000 0.167
Dy 0.778 0.333 0.944
Dy 0.889 0.667 0.722
Ho 0.445 0.333 0.611
Ho 0.555 0.667 0.389
Er 0.000 0.000 0.500